No. 1
First-principles (PBE) data for a geometry-optimized ScCrAsBr2 structure, as listed in Alexandria via LeMat-Bulk.

```
ScCrAsBr2
1.0
5.149 0.000 0.000
0.000 5.149 0.000
0.000 0.000 5.463
Sc Cr As Br
1 1 1 2
direct
0.000 0.000 0.000 Sc
0.500 0.500 0.500 Cr
0.000 0.000 0.500 As
0.000 0.500 0.000 Br
0.500 0.000 0.000 Br
```

## Properties
- calculated total energy (eV/atom) = -4.966
- energy relative to the elements, uncorrected (eV/atom) = -0.18
- excess energy over the best structure of this formula in the dataset (meV/atom) = 0



No. 2
First-principles (PBE) data for a geometry-optimized Zr2ReAu structure, as listed in Alexandria via LeMat-Bulk.

```
Zr2ReAu
1.0
2.877 0.000 0.000
0.000 2.877 0.000
0.000 0.000 9.222
Zr Re Au
2 1 1
direct
0.000 0.000 0.000 Zr
0.500 0.500 0.287 Zr
0.500 0.500 0.756 Re
0.000 0.000 0.535 Au
```

## Properties
- calculated total energy (eV/atom) = -8.034
- excess energy over the best structure of this formula in the dataset (meV/atom) = 583
- calculated formation energy (eV/atom) = 0.171



No. 3
First-principles (PBE) data for a geometry-optimized Sr2Pd4Pb structure, as listed in Alexandria via LeMat-Bulk.

```
Sr2Pd4Pb
1.0
-2.565 2.565 7.652
2.565 -2.565 7.652
2.565 2.565 -7.652
Sr Pd Pb
2 4 1
direct
0.134 0.134 0.000 Sr
0.866 0.866 0.000 Sr
0.000 0.500 0.500 Pd
0.326 0.326 0.000 Pd
0.500 0.000 0.500 Pd
0.674 0.674 0.000 Pd
0.500 0.500 0.000 Pb
```

## Properties
- calculated total energy (eV/atom) = -4.066
- calculated formation energy (eV/atom) = -0.088



No. 4
First-principles (PBE) data for a geometry-optimized Ho2ReAg structure, as listed in Alexandria via LeMat-Bulk.

```
Ho2ReAg
1.0
3.449 0.000 0.000
0.000 3.449 0.000
0.000 0.000 7.404
Ho Re Ag
2 1 1
direct
0.000 0.000 0.223 Ho
0.000 0.000 0.777 Ho
0.500 0.500 0.000 Re
0.500 0.500 0.500 Ag
```

## Properties
- calculated total energy (eV/atom) = -6.207
- calculated formation energy (eV/atom) = -0.093



No. 5
First-principles (PBE) data for a geometry-optimized Ba2ReGeIr structure, as listed in Alexandria via LeMat-Bulk.

```
Ba2ReGeIr
1.0
6.143 0.000 0.000
0.000 6.143 0.000
0.000 0.000 4.717
Ba Re Ge Ir
2 1 1 1
direct
0.000 0.500 0.000 Ba
0.500 0.000 0.000 Ba
0.000 0.000 0.500 Re
0.500 0.500 0.500 Ge
0.000 0.000 0.000 Ir
```

## Properties
- calculated total energy (eV/atom) = -5.282
- excess energy over the best structure of this formula in the dataset (meV/atom) = 0
- calculated formation energy (eV/atom) = 0.672



No. 6
First-principles (PBE) data for a geometry-optimized Ho3Er4Sc structure, as listed in Alexandria via LeMat-Bulk.

```
Ho3Er4Sc
1.0
-4.368 4.368 6.238
4.368 -4.368 6.238
4.368 4.368 -6.238
Ho Er Sc
6 8 2
direct
0.147 0.647 0.793 Ho
0.250 0.250 0.000 Ho
0.353 0.147 0.500 Ho
0.647 0.853 0.500 Ho
0.750 0.750 0.000 Ho
0.853 0.353 0.207 Ho
0.012 0.813 0.500 Er
0.187 0.687 0.199 Er
0.313 0.512 0.500 Er
0.488 0.988 0.801 Er
0.512 0.012 0.199 Er
0.687 0.488 0.500 Er
0.813 0.313 0.801 Er
0.988 0.187 0.500 Er
0.000 0.000 0.000 Sc
0.500 0.500 0.000 Sc
```

## Properties
- calculated total energy (eV/atom) = -4.697
- excess energy over the best structure of this formula in the dataset (meV/atom) = 84
- calculated formation energy (eV/atom) = 0.092



Number 3 is which compound? Sr2Pd4Pb



Which value of calculated total energy does entry 1 give? -4.966 eV/atom



Which formula does entry 2 have? Zr2ReAu